This record from Alexandria via LeMat-Bulk describes a relaxed structure of Sr6Ca5. The functional is GGA-PBE.

Structure (CIF):
```
data_Sr6Ca5
_cell_length_a 11.800
_cell_length_b 9.538
_cell_length_c 6.773
_cell_angle_alpha 75.88
_cell_angle_beta 66.77
_cell_angle_gamma 51.79
_space_group_name_H-M_alt 'P 1'
_space_group_IT_number 1
loop_
_space_group_symop_operation_xyz
'x,y,z'
loop_
_atom_site_label
_atom_site_fract_x
_atom_site_fract_y
_atom_site_fract_z
Sr1 0.812 0.000 0.660
Sr2 0.188 0.000 0.340
Sr3 0.339 0.703 0.841
Sr4 0.958 0.703 0.159
Sr5 0.661 0.297 0.159
Sr6 0.042 0.297 0.841
Ca1 0.500 0.000 0.500
Ca2 0.372 0.255 0.000
Ca3 0.628 0.745 0.000
Ca4 0.235 0.531 0.500
Ca5 0.765 0.469 0.500
```

Results
* Fermi-level density of states: 14.00 states/eV/cell
* raw total energy: -19.232 eV/cell
* space group: C2/m, No. 12
* calculated formation energy: 0.079 eV per atom

---

This record from Alexandria via LeMat-Bulk describes a relaxed structure of SrCa. The functional is GGA-PBE.

Structure (CIF):
```
data_SrCa
_cell_length_a 6.732
_cell_length_b 4.098
_cell_length_c 7.011
_cell_angle_alpha 89.88
_cell_angle_beta 90.00
_cell_angle_gamma 90.00
_space_group_name_H-M_alt 'P 1'
_space_group_IT_number 1
loop_
_space_group_symop_operation_xyz
'x,y,z'
loop_
_atom_site_label
_atom_site_fract_x
_atom_site_fract_y
_atom_site_fract_z
Sr1 0.000 0.376 0.548
Sr2 0.500 0.374 0.202
Ca1 0.000 0.876 0.040
Ca2 0.500 0.874 0.710
```

Results
* Fermi-level density of states: 4.10 states/eV/cell
* raw total energy: -7.306 eV/cell
* space group: P2_1/m, No. 11
* calculated formation energy: 0.015 eV per atom

---

This record from Alexandria via LeMat-Bulk describes a relaxed structure of Sr2Ca. The functional is GGA-PBE.

Structure (CIF):
```
data_Sr2Ca
_cell_length_a 7.537
_cell_length_b 7.537
_cell_length_c 7.537
_cell_angle_alpha 103.55
_cell_angle_beta 103.55
_cell_angle_gamma 122.11
_space_group_name_H-M_alt 'P 1'
_space_group_IT_number 1
loop_
_space_group_symop_operation_xyz
'x,y,z'
loop_
_atom_site_label
_atom_site_fract_x
_atom_site_fract_y
_atom_site_fract_z
Ca1 0.750 0.750 0.000
Ca2 0.250 0.250 0.000
Sr1 0.342 0.158 0.500
Sr2 0.658 0.842 0.500
Sr3 0.158 0.658 0.815
Sr4 0.842 0.342 0.185
```

Results
* Fermi-level density of states: 8.33 states/eV/cell
* raw total energy: -10.208 eV/cell
* space group: I4/mcm, No. 140
* calculated formation energy: 0.087 eV per atom

---

This record from Alexandria via LeMat-Bulk describes a relaxed structure of Sr2Ca. The functional is GGA-PBE.

Structure (CIF):
```
data_Sr2Ca
_cell_length_a 12.130
_cell_length_b 12.130
_cell_length_c 12.130
_cell_angle_alpha 60.00
_cell_angle_beta 60.00
_cell_angle_gamma 60.00
_space_group_name_H-M_alt 'P 1'
_space_group_IT_number 1
loop_
_space_group_symop_operation_xyz
'x,y,z'
loop_
_atom_site_label
_atom_site_fract_x
_atom_site_fract_y
_atom_site_fract_z
Ca1 0.708 0.708 0.875
Ca2 0.708 0.708 0.208
Ca3 0.708 0.375 0.208
Ca4 0.375 0.708 0.208
Ca5 0.292 0.292 0.125
Ca6 0.292 0.292 0.792
Ca7 0.292 0.625 0.792
Ca8 0.625 0.292 0.792
Sr1 0.000 0.500 0.000
Sr2 0.500 0.000 0.000
Sr3 0.500 0.500 0.000
Sr4 0.500 0.500 0.500
Sr5 0.930 0.930 0.820
Sr6 0.930 0.320 0.820
Sr7 0.320 0.930 0.820
Sr8 0.930 0.320 0.430
Sr9 0.320 0.930 0.430
Sr10 0.320 0.320 0.430
Sr11 0.070 0.070 0.180
Sr12 0.070 0.680 0.180
Sr13 0.680 0.070 0.180
Sr14 0.070 0.680 0.570
Sr15 0.680 0.070 0.570
Sr16 0.680 0.680 0.570
```

Results
* Fermi-level density of states: 27.84 states/eV/cell
* raw total energy: -41.852 eV/cell
* space group: Fd-3m, No. 227
* calculated formation energy: 0.045 eV per atom

---

This record from Alexandria via LeMat-Bulk describes a relaxed structure of Sr2Ca. The functional is GGA-PBE.

Structure (CIF):
```
data_Sr2Ca
_cell_length_a 7.670
_cell_length_b 7.670
_cell_length_c 12.362
_cell_angle_alpha 90.00
_cell_angle_beta 90.00
_cell_angle_gamma 120.00
_space_group_name_H-M_alt 'P 1'
_space_group_IT_number 1
loop_
_space_group_symop_operation_xyz
'x,y,z'
loop_
_atom_site_label
_atom_site_fract_x
_atom_site_fract_y
_atom_site_fract_z
Sr1 0.000 0.000 0.000
Sr2 0.000 0.000 0.500
Sr3 0.829 0.658 0.250
Sr4 0.171 0.342 0.750
Sr5 0.342 0.171 0.250
Sr6 0.829 0.171 0.250
Sr7 0.171 0.829 0.750
Sr8 0.658 0.829 0.750
Ca1 0.333 0.667 0.062
Ca2 0.667 0.333 0.562
Ca3 0.667 0.333 0.938
Ca4 0.333 0.667 0.438
```

Results
* Fermi-level density of states: 15.53 states/eV/cell
* raw total energy: -19.534 eV/cell
* space group: P6_3/mmc, No. 194
* calculated formation energy: 0.161 eV per atom

---

This record from Alexandria via LeMat-Bulk describes a relaxed structure of SrCa. The functional is GGA-PBE.

Structure (CIF):
```
data_SrCa
_cell_length_a 12.035
_cell_length_b 12.035
_cell_length_c 12.035
_cell_angle_alpha 90.00
_cell_angle_beta 90.00
_cell_angle_gamma 90.00
_space_group_name_H-M_alt 'P 1'
_space_group_IT_number 1
loop_
_space_group_symop_operation_xyz
'x,y,z'
loop_
_atom_site_label
_atom_site_fract_x
_atom_site_fract_y
_atom_site_fract_z
Sr1 0.299 0.299 0.299
Sr2 0.299 0.701 0.701
Sr3 0.701 0.299 0.701
Sr4 0.701 0.701 0.299
Sr5 0.799 0.799 0.799
Sr6 0.799 0.201 0.201
Sr7 0.201 0.799 0.201
Sr8 0.201 0.201 0.799
Ca1 0.108 0.108 0.108
Ca2 0.108 0.892 0.892
Ca3 0.892 0.108 0.892
Ca4 0.892 0.892 0.108
Ca5 0.608 0.608 0.608
Ca6 0.608 0.392 0.392
Ca7 0.392 0.608 0.392
Ca8 0.392 0.392 0.608
```

Results
* Fermi-level density of states: 27.01 states/eV/cell
* raw total energy: -16.701 eV/cell
* space group: I-43m, No. 217
* calculated formation energy: 0.798 eV per atom

---

This record from Alexandria via LeMat-Bulk describes a relaxed structure of Sr2Ca3. The functional is GGA-PBE.

Structure (CIF):
```
data_Sr2Ca3
_cell_length_a 10.985
_cell_length_b 10.985
_cell_length_c 7.837
_cell_angle_alpha 45.51
_cell_angle_beta 45.51
_cell_angle_gamma 60.00
_space_group_name_H-M_alt 'P 1'
_space_group_IT_number 1
loop_
_space_group_symop_operation_xyz
'x,y,z'
loop_
_atom_site_label
_atom_site_fract_x
_atom_site_fract_y
_atom_site_fract_z
Sr1 0.876 0.876 0.373
Sr2 0.376 0.376 0.873
Sr3 0.124 0.124 0.627
Sr4 0.624 0.624 0.127
Ca1 0.075 0.750 0.750
Ca2 0.750 0.425 0.750
Ca3 0.425 0.075 0.750
Ca4 0.250 0.575 0.250
Ca5 0.575 0.925 0.250
Ca6 0.925 0.250 0.250
```

Results
* Fermi-level density of states: 14.04 states/eV/cell
* raw total energy: -16.382 eV/cell
* space group: R-3c, No. 167
* calculated formation energy: 0.235 eV per atom

---

This record from Alexandria via LeMat-Bulk describes a relaxed structure of Sr2Ca. The functional is GGA-PBE.

Structure (CIF):
```
data_Sr2Ca
_cell_length_a 8.029
_cell_length_b 8.029
_cell_length_c 9.847
_cell_angle_alpha 74.76
_cell_angle_beta 74.76
_cell_angle_gamma 29.77
_space_group_name_H-M_alt 'P 1'
_space_group_IT_number 1
loop_
_space_group_symop_operation_xyz
'x,y,z'
loop_
_atom_site_label
_atom_site_fract_x
_atom_site_fract_y
_atom_site_fract_z
Ca1 0.667 0.667 0.664
Ca2 0.611 0.611 0.280
Sr1 0.004 0.004 0.999
Sr2 0.328 0.328 0.337
Sr3 0.950 0.950 0.607
Sr4 0.274 0.274 0.945
```

Results
* Fermi-level density of states: 6.59 states/eV/cell
* raw total energy: -10.645 eV/cell
* space group: C2/m, No. 12
* calculated formation energy: 0.014 eV per atom

---

This record from Alexandria via LeMat-Bulk describes a relaxed structure of Sr7Ca6. The functional is GGA-PBE.

Structure (CIF):
```
data_Sr7Ca6
_cell_length_a 7.590
_cell_length_b 7.590
_cell_length_c 13.855
_cell_angle_alpha 74.10
_cell_angle_beta 74.10
_cell_angle_gamma 60.00
_space_group_name_H-M_alt 'P 1'
_space_group_IT_number 1
loop_
_space_group_symop_operation_xyz
'x,y,z'
loop_
_atom_site_label
_atom_site_fract_x
_atom_site_fract_y
_atom_site_fract_z
Sr1 0.411 0.917 0.260
Sr2 0.411 0.411 0.260
Sr3 0.917 0.411 0.260
Sr4 0.589 0.083 0.740
Sr5 0.083 0.589 0.740
Sr6 0.589 0.589 0.740
Sr7 0.500 0.500 0.500
Ca1 0.954 0.954 0.138
Ca2 0.046 0.046 0.862
Ca3 0.852 0.852 0.445
Ca4 0.148 0.148 0.555
Ca5 0.667 0.667 0.000
Ca6 0.333 0.333 0.000
```

Results
* Fermi-level density of states: 17.31 states/eV/cell
* raw total energy: -21.995 eV/cell
* space group: R-3m, No. 166
* calculated formation energy: 0.137 eV per atom

---

This record from Alexandria via LeMat-Bulk describes a relaxed structure of Sr4Ca. The functional is GGA-PBE.

Structure (CIF):
```
data_Sr4Ca
_cell_length_a 6.743
_cell_length_b 6.743
_cell_length_c 6.743
_cell_angle_alpha 90.00
_cell_angle_beta 90.00
_cell_angle_gamma 90.00
_space_group_name_H-M_alt 'P 1'
_space_group_IT_number 1
loop_
_space_group_symop_operation_xyz
'x,y,z'
loop_
_atom_site_label
_atom_site_fract_x
_atom_site_fract_y
_atom_site_fract_z
Sr1 0.000 0.000 0.000
Sr2 0.500 0.000 0.500
Sr3 0.000 0.500 0.500
Sr4 0.500 0.500 0.000
Ca1 0.500 0.500 0.500
```

Results
* Fermi-level density of states: 10.08 states/eV/cell
* raw total energy: -6.341 eV/cell
* space group: Pm-3m, No. 221
* calculated formation energy: 0.478 eV per atom

---

no.,calculated density (g/cm3)
1,2.19
2,2.19
3,2.25
4,2.27
5,2.27
6,0.97
7,2.04
8,2.36
9,2.16
10,2.12